[1]
VASP calculation (PBE) on crystalline Mg2MoAs at its relaxed geometry.

## Properties
Calculated volume (Å³/cell): 71.01
SG: P2/m (10)
VASP energy (eV per atom): -4.480

Cell and atoms, written as extended XYZ:
```
4
Lattice="-2.7288 -2.5119 3.0749 2.0350 0.2062 1.9744 -0.8443 4.5368 2.9569" Properties=species:S:1:pos:R:3 pbc="T T T"
As -0.4714 2.3013 5.2359
Mg 1.7265 0.1829 1.6816
Mg 0.9039 2.3947 2.7585
Mo -1.0667 -0.0702 2.7703
```

---

[2]
VASP calculation (PBE) on crystalline Pu4Cd3Hg4 at its relaxed geometry.

## Properties
Calculated volume (Å³/cell): 277.78
SG: Immm (71)
VASP energy (eV per atom): -5.296

Cell and atoms, written as extended XYZ:
```
11
Lattice="-1.0501 3.1057 1.1672 -6.5398 -1.8081 -1.0728 3.2012 -4.9066 10.7481" Properties=species:S:1:pos:R:3 pbc="T T T"
Pu 0.9045 -2.0273 6.2081
Pu -2.8236 -0.8989 5.0395
Pu -5.2931 -1.5817 4.6344
Pu -1.5650 -2.7100 5.8030
Cd -0.1671 -1.1984 3.0384
Cd -4.2216 -2.4106 7.8041
Cd -3.2699 -0.9040 -0.5364
Hg -3.4143 -1.9398 2.0897
Hg -0.9743 -1.6692 8.7528
Hg -5.8099 0.0917 -0.2834
Hg -1.7800 1.2059 0.3777
```

---

[3]
VASP calculation (PBE) on crystalline LaPr2Tm6 at its relaxed geometry.

## Properties
Calculated volume (Å³/cell): 290.41
SG: P-3 (147)
Excess energy over the best structure of this formula in the dataset (eV per formula unit): 0.00
VASP energy (eV per atom): -4.511

Cell and atoms, written as extended XYZ:
```
9
Lattice="-2.6238 2.0480 -1.1878 -2.4344 -6.8682 -6.4645 -4.0263 -0.0138 8.8700" Properties=species:S:1:pos:R:3 pbc="T T T"
La -1.3119 1.0240 -0.5939
Pr -3.6562 -4.0438 -1.6659
Pr -5.4282 -0.7902 2.8836
Tm -4.8774 -3.9901 1.4771
Tm -2.0722 0.3180 2.7085
Tm -5.3467 -1.8113 6.2706
Tm -4.2071 -0.8438 -0.2595
Tm -7.0123 -5.1520 -1.4909
Tm -3.7377 -3.0227 -5.0530
```

---

[4]
VASP calculation (PBE) on crystalline NbTl3Sn3Se8 at its relaxed geometry.

## Properties
E_form (uncorrected) (eV/atom): -0.506
Calculated volume (Å³/cell): 446.53
SG: C2/m (12)
VASP energy (eV per atom): -4.309

Cell and atoms, written as extended XYZ:
```
15
Lattice="8.1537 0.0000 0.0000 -4.0768 7.0471 -0.0150 0.0000 -4.6593 7.7810" Properties=species:S:1:pos:R:3 pbc="T T T"
Nb 0.0000 -2.3296 3.8905
Tl 0.0000 0.0000 0.0000
Tl -2.0384 3.5236 -0.0075
Tl 2.0384 3.5236 -0.0075
Sn 4.0768 -2.3296 3.8905
Sn 2.0384 1.1939 3.8830
Sn -2.0384 1.1939 3.8830
Se 0.0000 2.3545 2.2008
Se 4.0768 0.0334 5.5653
Se 4.0768 2.5373 2.3920
Se 0.0000 -0.1494 5.3740
Se 6.2690 -1.2475 2.4034
Se -2.1922 3.6354 5.3626
Se 1.8847 -1.2475 2.4034
Se 2.1921 3.6354 5.3626
```

---

[5]
VASP calculation (PBE) on crystalline InOsSeN2 at its relaxed geometry.

## Properties
E_form (uncorrected) (eV/atom): 0.519
Calculated volume (Å³/cell): 85.94
SG: P4/mmm (123)
Excess energy over the best structure of this formula in the dataset (eV per formula unit): 0.00
VASP energy (eV per atom): -6.301

Cell and atoms, written as extended XYZ:
```
5
Lattice="-1.6000 -3.2917 1.4299 3.4982 -1.7801 -0.1836 1.1354 1.6973 5.1776" Properties=species:S:1:pos:R:3 pbc="T T T"
N 1.7491 -0.8901 -0.0918
N -0.8000 -1.6459 0.7150
Os 0.0000 0.0000 0.0000
Se 0.5677 0.8486 2.5888
In 1.5168 -1.6873 3.2120
```

---

[6]
VASP calculation (PBE) on crystalline AsOsBr2 at its relaxed geometry.

## Properties
E_form (uncorrected) (eV/atom): 0.981
Calculated volume (Å³/cell): 88.38
SG: R-3m (166)
Excess energy over the best structure of this formula in the dataset (eV per formula unit): 3.56
VASP energy (eV per atom): -3.826

Cell and atoms, written as extended XYZ:
```
4
Lattice="7.3443 0.8931 7.5222 8.9586 -0.8784 5.5038 8.9204 2.2371 5.1711" Properties=species:S:1:pos:R:3 pbc="T T T"
As 0.0000 0.0000 0.0000
Os 12.6116 1.1259 9.0985
Br 22.5873 2.0165 16.2954
Br 2.6359 0.2353 1.9016
```